# Ac6OsRh2

Ac6OsRh2 after structural relaxation (PBE, Alexandria via LeMat-Bulk).

```
Ac6OsRh2
1.0
6.794 -2.123 0.000
6.794 2.123 0.000
-0.162 0.000 10.827
Ac Os Rh
6 1 2
Cartesian
1.219 0.000 2.754
4.847 0.000 0.654
4.862 0.000 4.499
8.564 0.000 6.328
8.579 0.000 10.173
12.206 0.000 8.073
-0.081 0.000 5.414
3.296 0.000 8.725
10.130 0.000 2.102
```

Values from the calculation:
final energy = -53.7 eV/f.u.
crystal system = monoclinic
DOS(E_F) = 0.775 states/eV/atom